Crystalline ZrPa5 at its relaxed geometry, computed with PBE-GGA.

Geometry as POSCAR:
```
ZrPa5
1.0
3.215 0.000 0.000
-1.607 5.802 -1.807
0.000 -0.159 7.902
Pa Zr
5 1
direct
0.635 0.269 0.278 Pa
0.635 0.271 0.774 Pa
0.977 0.954 0.944 Pa
0.306 0.611 0.612 Pa
0.975 0.951 0.447 Pa
0.305 0.611 0.111 Zr
```

- ΔE_f (eV per atom) = 0.02
- relative energy among the computed polymorphs (meV/atom) = 0
- energy (eV/atom) = -9.317
- space-group type = No. 8
- V (Å³/atom) = 24.41



Crystalline LiTh2Ga4Pt3 at its relaxed geometry, computed with PBE-GGA.

Geometry as POSCAR:
```
LiTh2Ga4Pt3
1.0
4.284 0.000 0.000
0.000 4.284 0.000
0.000 0.000 10.521
Li Ga Pt Th
1 4 3 2
direct
0.500 0.500 0.500 Li
0.000 0.500 0.373 Ga
0.000 0.000 0.000 Ga
0.500 0.000 0.627 Ga
0.500 0.500 0.000 Ga
0.000 0.500 0.136 Pt
0.500 0.000 0.864 Pt
0.000 0.000 0.500 Pt
0.000 0.500 0.755 Th
0.500 0.000 0.245 Th
```

- ΔE_f (eV per atom) = -0.86
- energy (eV/atom) = -5.556
- space-group type = No. 115
- V (Å³/atom) = 19.31



Crystalline Al2ZnPt at its relaxed geometry, computed with PBE-GGA.

Geometry as POSCAR:
```
Al2ZnPt
1.0
-2.359 0.484 2.439
2.166 -1.250 2.344
1.864 4.817 0.847
Pt Zn Al
1 1 2
direct
0.000 0.000 0.480 Pt
0.500 0.500 0.762 Zn
0.000 0.000 0.986 Al
0.500 0.500 0.272 Al
```

- ΔE_f (eV per atom) = -0.47
- energy (eV/atom) = -4.165
- space-group type = No. 99
- V (Å³/atom) = 15.37



- Look up the energy of the first one.
  -9.317 eV/atom